First-principles (PBE) data for a geometry-optimized GaBiPt2O structure, as listed in the Alexandria database.

## Properties
* total magnetic moment: 0.00 μB/f.u.
* uncorrected energy: -3.89 eV per atom
* raw formation energy: 0.896 eV/atom

a b c (Å): 4.5375 4.5375 5.6390
angles (deg): 90.00 90.00 90.00
Positions (direct):
Ga 0.0000 0.0000 0.0000
Bi 0.0000 0.0000 0.5000
Pt 0.0000 0.5000 0.0000
Pt 0.5000 0.0000 0.0000
O 0.5000 0.5000 0.5000